Model w:
Material: IrWSe2N
Method: DFT, PBE
State: optimized geometry

a = 4.9972 Å, b = 4.9972 Å, c = 3.7309 Å
α = 90.00°, β = 90.00°, γ = 90.00°
Last column: nearest neighbours and their distance in Å.
Fractional coordinates of all 5 atoms:
Ir  0.5000  0.5000  0.5000  8 Se 3.12
Se  0.0000  0.5000  0.0000  2 W 2.50
Se  0.5000  0.0000  0.0000  2 W 2.50
W  0.0000  0.0000  0.0000  2 N 1.87
N  0.0000  0.0000  0.5000  2 W 1.87

## Properties
Symmetry ... No. 123

***

Model x:
Material: IrWSe2N
Method: DFT, PBE
State: optimized geometry

a = 5.0828 Å, b = 5.0828 Å, c = 3.6207 Å
α = 90.00°, β = 90.00°, γ = 90.00°
Last column: nearest neighbours and their distance in Å.
Fractional coordinates of all 5 atoms:
Ir  0.0000  0.0000  0.0000  2 N 1.81
Se  0.0000  0.5000  0.0000  2 Ir 2.54
Se  0.5000  0.0000  0.0000  2 Ir 2.54
W  0.5000  0.5000  0.5000  8 Se 3.12
N  0.0000  0.0000  0.5000  2 Ir 1.81

## Properties
Symmetry ... No. 123

***

Preferred: model w; penalty for the next structure: 154 meV/atom.